[1]
DFT (PBE) results for PrTh2TcN4 after structural relaxation.

Computed properties:
Uncorrected energy ... -8.991 eV/atom
SG ... Cmcm (63)
Calculated density ... 9.84 g/cm³

Cell lengths 3.5063, 6.3778, 11.9175 Å; angles 90.00, 90.00, 105.95 degrees
With the nearest neighbours (Å) after each atom.
Sites, in units of the cell vectors:
Th1 0.3682 0.7364 0.5513  6 N 2.43-2.61
Th2 0.6318 0.2636 0.4487  6 N 2.43-2.61
Th3 0.3682 0.7364 0.9487  6 N 2.43-2.61
Th4 0.6318 0.2636 0.0513  6 N 2.43-2.61
N1 0.7287 0.4574 0.6262  1 Tc 2.13
N2 0.2713 0.5426 0.1262  1 Tc 2.13
N3 0.0000 0.0000 0.0000  4 Th 2.46
N4 0.0000 0.0000 0.5000  4 Th 2.46
N5 0.2713 0.5426 0.3738  1 Tc 2.13
N6 0.7287 0.4574 0.8738  1 Tc 2.13
N7 0.4573 0.9146 0.7500  2 Tc 2.17
N8 0.5427 0.0854 0.2500  2 Tc 2.17
Pr1 0.8850 0.7700 0.2500  6 N 2.61-2.68
Pr2 0.1150 0.2300 0.7500  6 N 2.61-2.68
Tc1 0.1465 0.2930 0.2500  4 N 2.13-2.17
Tc2 0.8535 0.7070 0.7500  4 N 2.13-2.17


[2]
DFT (PBE) results for PrTm2TcN4 after structural relaxation.

Computed properties:
Uncorrected energy ... -8.303 eV/atom
SG ... Cmcm (63)
Calculated density ... 9.12 g/cm³

Cell lengths 3.4489, 6.0695, 11.4762 Å; angles 90.00, 90.00, 106.51 degrees
With the nearest neighbours (Å) after each atom.
Sites, in units of the cell vectors:
N1 0.4394 0.8787 0.7500  2 Tc 1.97
N2 0.2617 0.5235 0.1237  1 Tc 2.01
N3 0.7383 0.4765 0.8763  1 Tc 2.01
N4 0.2617 0.5235 0.3763  1 Tc 2.01
N5 0.5606 0.1213 0.2500  2 Tc 1.97
N6 0.0000 0.0000 0.5000  4 Tm 2.35
N7 0.7383 0.4765 0.6237  1 Tc 2.01
N8 0.0000 0.0000 0.0000  4 Tm 2.35
Tm1 0.3688 0.7377 0.9601  5 N 2.25-2.49
Tm2 0.6312 0.2623 0.0399  5 N 2.25-2.49
Tm3 0.6312 0.2623 0.4601  5 N 2.25-2.49
Tm4 0.3688 0.7377 0.5399  5 N 2.25-2.49
Pr1 0.1202 0.2403 0.7500  6 N 2.64-2.72
Pr2 0.8798 0.7597 0.2500  6 N 2.64-2.72
Tc1 0.8575 0.7150 0.7500  4 N 1.97-2.01
Tc2 0.1425 0.2850 0.2500  4 N 1.97-2.01


[3]
DFT (PBE) results for Pr2ZrTc2N6 after structural relaxation.

Computed properties:
Uncorrected energy ... -8.676 eV/atom
SG ... R-3m (166)
Calculated density ... 6.60 g/cm³

Cell lengths 5.6781, 5.6781, 6.7334 Å; angles 65.06, 65.06, 60.00 degrees
With the nearest neighbours (Å) after each atom.
Sites, in units of the cell vectors:
N1 0.7476 0.2242 0.2806  1 Tc 1.81
N2 0.2242 0.7476 0.2806  1 Tc 1.81
N3 0.7758 0.2524 0.7194  1 Tc 1.81
N4 0.7476 0.7476 0.2806  1 Tc 1.81
N5 0.2524 0.7758 0.7194  1 Tc 1.81
N6 0.2524 0.2524 0.7194  1 Tc 1.81
Tc1 0.3936 0.3936 0.8192  3 N 1.81
Tc2 0.6064 0.6064 0.1808  3 N 1.81
Pr1 0.2088 0.2088 0.3737  3 N 2.56
Pr2 0.7912 0.7912 0.6263  3 N 2.56
Zr1 0.0000 0.0000 0.0000  6 N 2.27


[4]
DFT (PBE) results for Pr2TeN after structural relaxation.

Computed properties:
ΔE to the lowest computed polymorph ... 506.7 meV/atom
SG ... R-3m (166)
Calculated density ... 6.55 g/cm³

Cell lengths 3.7031, 3.7031, 9.2823 Å; angles 78.49, 78.49, 60.00 degrees
With the nearest neighbours (Å) after each atom.
Sites, in units of the cell vectors:
Te1 0.0000 0.0000 0.0000  2 Pr 3.13
Pr1 0.1154 0.1154 0.6538  3 N 2.55
Pr2 0.8846 0.8846 0.3462  3 N 2.55
N1 0.5000 0.5000 0.5000  6 Pr 2.55


[5]
DFT (PBE) results for Pr4Te3N2 after structural relaxation.

Computed properties:
ΔE to the lowest computed polymorph ... 31.8 meV/atom
SG ... C2/m (12)
Calculated density ... 6.30 g/cm³

Cell lengths 4.2570, 7.5036, 9.8871 Å; angles 120.49, 90.00, 106.48 degrees
With the nearest neighbours (Å) after each atom.
Sites, in units of the cell vectors:
Te1 0.3853 0.7706 0.2757  2 Pr 3.18
Te2 0.6147 0.2294 0.7243  2 Pr 3.18
Te3 0.0000 0.0000 0.0000  6 Pr 3.16-3.48
Pr1 0.6916 0.3832 0.1384  1 N 2.23
Pr2 0.1273 0.2545 0.4127  3 N 2.36-2.47
Pr3 0.8727 0.7455 0.5873  3 N 2.36-2.47
Pr4 0.3084 0.6168 0.8616  1 N 2.23
N1 0.3080 0.6159 0.6353  4 Pr 2.23-2.47
N2 0.6920 0.3841 0.3647  4 Pr 2.23-2.47


[6]
DFT (PBE) results for Pr3Te2N2 after structural relaxation.

Computed properties:
Uncorrected energy ... -6.538 eV/atom
SG ... P2_1/c (14)
Calculated density ... 6.32 g/cm³

Cell lengths 7.8855, 7.6000, 6.8300 Å; angles 90.00, 65.03, 90.00 degrees
With the nearest neighbours (Å) after each atom.
Sites, in units of the cell vectors:
N1 0.4281 0.6096 0.3489  4 Pr 2.36-2.52
N2 0.9281 0.8904 0.3489  4 Pr 2.36-2.52
N3 0.0719 0.1096 0.6511  4 Pr 2.36-2.52
N4 0.5719 0.3904 0.6511  4 Pr 2.36-2.52
Pr1 0.0000 0.0000 0.0000  2 N 2.36
Pr2 0.7116 0.6330 0.4028  3 N 2.42-2.52
Pr3 0.5000 0.5000 0.0000  2 N 2.36
Pr4 0.2884 0.3670 0.5972  3 N 2.42-2.52
Pr5 0.7884 0.1330 0.5972  3 N 2.42-2.52
Pr6 0.2116 0.8670 0.4028  3 N 2.42-2.52
Te1 0.5811 0.1315 0.1801  4 Pr 3.16-3.33
Te2 0.0811 0.3685 0.1801  4 Pr 3.16-3.33
Te3 0.4189 0.8685 0.8199  4 Pr 3.16-3.33
Te4 0.9189 0.6315 0.8199  4 Pr 3.16-3.33


Please write out number 5 again, unchanged.
DFT (PBE) results for Pr4Te3N2 after structural relaxation.

Computed properties:
ΔE to the lowest computed polymorph ... 31.8 meV/atom
SG ... C2/m (12)
Calculated density ... 6.30 g/cm³

Cell lengths 4.2570, 7.5036, 9.8871 Å; angles 120.49, 90.00, 106.48 degrees
With the nearest neighbours (Å) after each atom.
Sites, in units of the cell vectors:
Te1 0.3853 0.7706 0.2757  2 Pr 3.18
Te2 0.6147 0.2294 0.7243  2 Pr 3.18
Te3 0.0000 0.0000 0.0000  6 Pr 3.16-3.48
Pr1 0.6916 0.3832 0.1384  1 N 2.23
Pr2 0.1273 0.2545 0.4127  3 N 2.36-2.47
Pr3 0.8727 0.7455 0.5873  3 N 2.36-2.47
Pr4 0.3084 0.6168 0.8616  1 N 2.23
N1 0.3080 0.6159 0.6353  4 Pr 2.23-2.47
N2 0.6920 0.3841 0.3647  4 Pr 2.23-2.47


- Which value of calculated density does entry 5 give?
  6.30 g/cm³


- Which formula does entry 5 have?
  Pr4Te3N2


- calculated density of number 6 (Pr3Te2N2)?
  6.32 g/cm³